# 1
Material: Th8BiC4
Method: DFT, GGA-PBE
State: relaxed

density of states at the Fermi level: 14.6 states/eV/f.u.
total DFT energy (no corrections): -98.8 eV per cell
formation energy from the elements: 1.36 eV per formula unit

a = 7.989 Å, b = 7.989 Å, c = 7.989 Å
α = 60.00°, β = 60.00°, γ = 60.00°
Fractional coordinates of all 13 atoms:
1 Th 0.084 0.639 0.639
2 Th 0.102 0.102 0.102
3 Th 0.102 0.102 0.695
4 Th 0.102 0.695 0.102
5 Th 0.639 0.084 0.639
6 Th 0.639 0.639 0.084
7 Th 0.639 0.639 0.639
8 Th 0.695 0.102 0.102
9 Bi 0.250 0.250 0.250
10 C 0.392 0.869 0.869
11 C 0.869 0.392 0.869
12 C 0.869 0.869 0.392
13 C 0.869 0.869 0.869

=====

# 2
Material: Th4Bi3C
Method: DFT, GGA-PBE
State: relaxed

density of states at the Fermi level: 5.9 states/eV/f.u.
total DFT energy (no corrections): -106.5 eV per cell
formation energy from the elements: -2.69 eV per formula unit

a = 12.483 Å, b = 6.425 Å, c = 6.382 Å
α = 90.00°, β = 90.00°, γ = 90.00°
Fractional coordinates of all 16 atoms:
1 Th 0.000 0.205 0.000
2 Th 0.000 0.787 0.562
3 Th 0.200 0.771 0.005
4 Th 0.300 0.229 0.505
5 Th 0.500 0.213 0.062
6 Th 0.500 0.795 0.500
7 Th 0.700 0.229 0.505
8 Th 0.800 0.771 0.005
9 Bi 0.000 0.284 0.499
10 Bi 0.249 0.729 0.507
11 Bi 0.251 0.271 0.007
12 Bi 0.500 0.716 0.999
13 Bi 0.749 0.271 0.007
14 Bi 0.751 0.729 0.507
15 C 0.000 0.828 0.944
16 C 0.500 0.172 0.444

=====

# 3
Material: Th8Bi2C3
Method: DFT, GGA-PBE
State: relaxed

density of states at the Fermi level: 9.9 states/eV/f.u.
total DFT energy (no corrections): -98.1 eV per cell
formation energy from the elements: -3.30 eV per formula unit

a = 8.850 Å, b = 8.850 Å, c = 6.592 Å
α = 102.39°, β = 102.39°, γ = 48.97°
Fractional coordinates of all 13 atoms:
1 Th 0.093 0.093 0.926
2 Th 0.162 0.662 0.618
3 Th 0.338 0.838 0.382
4 Th 0.406 0.406 0.114
5 Th 0.594 0.594 0.886
6 Th 0.662 0.162 0.618
7 Th 0.838 0.338 0.382
8 Th 0.907 0.907 0.074
9 Bi 0.248 0.248 0.683
10 Bi 0.752 0.752 0.317
11 C 0.264 0.736 0.000
12 C 0.500 0.500 0.500
13 C 0.736 0.264 0.000

=====

# 4
Material: Th8BiC6
Method: DFT, GGA-PBE
State: relaxed

density of states at the Fermi level: 9.5 states/eV/f.u.
total DFT energy (no corrections): -120.2 eV per cell
formation energy from the elements: -1.61 eV per formula unit

a = 7.150 Å, b = 7.150 Å, c = 7.150 Å
α = 90.99°, β = 90.99°, γ = 90.99°
Fractional coordinates of all 15 atoms:
1 Th 0.107 0.793 0.358
2 Th 0.207 0.642 0.893
3 Th 0.226 0.226 0.226
4 Th 0.358 0.107 0.793
5 Th 0.642 0.893 0.207
6 Th 0.774 0.774 0.774
7 Th 0.793 0.358 0.107
8 Th 0.893 0.207 0.642
9 Bi 0.500 0.500 0.500
10 C 0.081 0.894 0.685
11 C 0.106 0.315 0.919
12 C 0.315 0.919 0.106
13 C 0.685 0.081 0.894
14 C 0.894 0.685 0.081
15 C 0.919 0.106 0.315

=====

# 5
Material: Th3Bi2C
Method: DFT, GGA-PBE
State: relaxed

density of states at the Fermi level: 5.0 states/eV/f.u.
total DFT energy (no corrections): -83.0 eV per cell
formation energy from the elements: -2.26 eV per formula unit

a = 7.971 Å, b = 7.971 Å, c = 7.800 Å
α = 103.98°, β = 103.98°, γ = 46.44°
Fractional coordinates of all 12 atoms:
1 Th 0.043 0.957 0.750
2 Th 0.373 0.384 0.438
3 Th 0.384 0.373 0.938
4 Th 0.616 0.627 0.062
5 Th 0.627 0.616 0.562
6 Th 0.957 0.043 0.250
7 Bi 0.178 0.190 0.091
8 Bi 0.190 0.178 0.591
9 Bi 0.810 0.822 0.409
10 Bi 0.822 0.810 0.909
11 C 0.454 0.546 0.750
12 C 0.546 0.454 0.250

=====

# 6
Material: ThBiC
Method: DFT, GGA-PBE
State: relaxed

density of states at the Fermi level: 1.5 states/eV/f.u.
total DFT energy (no corrections): -41.8 eV per cell
formation energy from the elements: -0.38 eV per formula unit

a = 3.890 Å, b = 3.890 Å, c = 11.736 Å
α = 100.89°, β = 100.89°, γ = 62.28°
Fractional coordinates of all 6 atoms:
1 Th 0.163 0.163 0.356
2 Th 0.837 0.837 0.644
3 Bi 0.276 0.276 0.873
4 Bi 0.724 0.724 0.127
5 C 0.454 0.454 0.549
6 C 0.546 0.546 0.451

=====

# 7
Material: TmThBiC
Method: DFT, GGA-PBE
State: relaxed

density of states at the Fermi level: 0.9 states/eV/f.u.
total DFT energy (no corrections): -54.3 eV per cell
formation energy from the elements: -2.16 eV per formula unit

a = 4.666 Å, b = 4.666 Å, c = 9.412 Å
α = 90.00°, β = 90.00°, γ = 90.00°
Fractional coordinates of all 8 atoms:
1 Tm 0.250 0.750 0.000
2 Tm 0.750 0.250 0.000
3 Th 0.250 0.250 0.318
4 Th 0.750 0.750 0.682
5 Bi 0.250 0.250 0.695
6 Bi 0.750 0.750 0.305
7 C 0.250 0.250 0.080
8 C 0.750 0.750 0.920

=====

# 8
Material: Ti5Bi2C
Method: DFT, GGA-PBE
State: relaxed

density of states at the Fermi level: 6.1 states/eV/f.u.
total DFT energy (no corrections): -111.4 eV per cell
formation energy from the elements: 0.78 eV per formula unit

a = 7.659 Å, b = 7.659 Å, c = 11.435 Å
α = 90.00°, β = 90.00°, γ = 148.09°
Fractional coordinates of all 16 atoms:
1 Ti 0.093 0.907 0.643
2 Ti 0.093 0.907 0.857
3 Ti 0.270 0.730 0.579
4 Ti 0.270 0.730 0.921
5 Ti 0.275 0.725 0.250
6 Ti 0.725 0.275 0.750
7 Ti 0.730 0.270 0.079
8 Ti 0.730 0.270 0.421
9 Ti 0.907 0.093 0.143
10 Ti 0.907 0.093 0.357
11 Bi 0.105 0.895 0.105
12 Bi 0.105 0.895 0.395
13 Bi 0.895 0.105 0.605
14 Bi 0.895 0.105 0.895
15 C 0.207 0.793 0.750
16 C 0.793 0.207 0.250

=====

# 9
Material: Ti7Bi2C2
Method: DFT, GGA-PBE
State: relaxed

density of states at the Fermi level: 12.6 states/eV/f.u.
total DFT energy (no corrections): -81.9 eV per cell
formation energy from the elements: -0.39 eV per formula unit

a = 5.771 Å, b = 5.771 Å, c = 7.205 Å
α = 96.31°, β = 96.31°, γ = 112.04°
Fractional coordinates of all 11 atoms:
1 Ti 0.000 0.000 0.000
2 Ti 0.090 0.509 0.838
3 Ti 0.411 0.411 0.168
4 Ti 0.491 0.910 0.162
5 Ti 0.509 0.090 0.838
6 Ti 0.589 0.589 0.832
7 Ti 0.910 0.491 0.162
8 Bi 0.309 0.691 0.500
9 Bi 0.691 0.309 0.500
10 C 0.276 0.276 0.877
11 C 0.724 0.724 0.123

=====

# 10
Material: TiBi3C
Method: DFT, GGA-PBE
State: relaxed

density of states at the Fermi level: 5.2 states/eV/f.u.
E above lowest polymorph: 0 meV/atom
total DFT energy (no corrections): -23.4 eV per cell
formation energy from the elements: 5.39 eV per formula unit

a = 4.935 Å, b = 4.935 Å, c = 4.935 Å
α = 90.00°, β = 90.00°, γ = 90.00°
Fractional coordinates of all 5 atoms:
1 Ti 0.000 0.000 0.000
2 Bi 0.000 0.500 0.500
3 Bi 0.500 0.000 0.500
4 Bi 0.500 0.500 0.000
5 C 0.500 0.500 0.500

=====

# 11
Material: TiBiC3
Method: DFT, GGA-PBE
State: relaxed

density of states at the Fermi level: 5.4 states/eV/f.u.
E above lowest polymorph: 1378 meV/atom
total DFT energy (no corrections): -24.1 eV per cell
formation energy from the elements: 15.39 eV per formula unit

a = 4.355 Å, b = 4.355 Å, c = 4.355 Å
α = 90.00°, β = 90.00°, γ = 90.00°
Fractional coordinates of all 5 atoms:
1 Ti 0.000 0.000 0.000
2 Bi 0.500 0.500 0.500
3 C 0.000 0.500 0.500
4 C 0.500 0.000 0.500
5 C 0.500 0.500 0.000

=====

# 12
Material: Ti10Bi6C
Method: DFT, GGA-PBE
State: relaxed

density of states at the Fermi level: 11.6 states/eV/f.u.
total DFT energy (no corrections): -115.3 eV per cell
formation energy from the elements: -3.81 eV per formula unit

a = 8.301 Å, b = 8.301 Å, c = 5.553 Å
α = 90.00°, β = 90.00°, γ = 120.00°
Fractional coordinates of all 17 atoms:
1 Ti 0.000 0.210 0.229
2 Ti 0.000 0.790 0.771
3 Ti 0.210 0.000 0.229
4 Ti 0.210 0.210 0.771
5 Ti 0.333 0.667 0.000
6 Ti 0.333 0.667 0.500
7 Ti 0.667 0.333 0.000
8 Ti 0.667 0.333 0.500
9 Ti 0.790 0.000 0.771
10 Ti 0.790 0.790 0.229
11 Bi 0.000 0.394 0.744
12 Bi 0.000 0.606 0.256
13 Bi 0.394 0.000 0.744
14 Bi 0.394 0.394 0.256
15 Bi 0.606 0.000 0.256
16 Bi 0.606 0.606 0.744
17 C 0.000 0.000 0.000

=====

# 13
Material: Ti8Bi2C
Method: DFT, GGA-PBE
State: relaxed

density of states at the Fermi level: 11.9 states/eV/f.u.
total DFT energy (no corrections): -81.1 eV per cell
formation energy from the elements: -0.92 eV per formula unit

a = 8.014 Å, b = 8.014 Å, c = 5.672 Å
α = 106.04°, β = 106.04°, γ = 33.11°
Fractional coordinates of all 11 atoms:
1 Ti 0.004 0.004 0.233
2 Ti 0.216 0.216 0.118
3 Ti 0.376 0.376 0.749
4 Ti 0.426 0.426 0.274
5 Ti 0.574 0.574 0.726
6 Ti 0.624 0.624 0.251
7 Ti 0.784 0.784 0.882
8 Ti 0.996 0.996 0.767
9 Bi 0.172 0.172 0.605
10 Bi 0.828 0.828 0.395
11 C 0.500 0.500 0.000

=====

# 14
Material: Ti4Bi2C
Method: DFT, GGA-PBE
State: relaxed

density of states at the Fermi level: 4.4 states/eV/f.u.
E above lowest polymorph: 79 meV/atom
total DFT energy (no corrections): -101.1 eV per cell
formation energy from the elements: -1.98 eV per formula unit

a = 7.661 Å, b = 7.661 Å, c = 7.661 Å
α = 95.75°, β = 95.75°, γ = 143.11°
Fractional coordinates of all 14 atoms:
1 Ti 0.070 0.824 0.894
2 Ti 0.176 0.070 0.246
3 Ti 0.324 0.570 0.894
4 Ti 0.430 0.324 0.754
5 Ti 0.570 0.676 0.246
6 Ti 0.676 0.430 0.106
7 Ti 0.824 0.930 0.754
8 Ti 0.930 0.176 0.106
9 Bi 0.142 0.358 0.500
10 Bi 0.358 0.858 0.217
11 Bi 0.642 0.142 0.783
12 Bi 0.858 0.642 0.500
13 C 0.250 0.250 0.000
14 C 0.750 0.750 0.000

=====

# 15
Material: Ti4Bi2C
Method: DFT, GGA-PBE
State: relaxed

density of states at the Fermi level: 6.7 states/eV/f.u.
E above lowest polymorph: 0 meV/atom
total DFT energy (no corrections): -51.1 eV per cell
formation energy from the elements: -2.53 eV per formula unit

a = 7.882 Å, b = 7.882 Å, c = 7.882 Å
α = 148.86°, β = 148.86°, γ = 44.62°
Fractional coordinates of all 7 atoms:
1 Ti 0.000 0.500 0.500
2 Ti 0.142 0.142 0.000
3 Ti 0.500 0.000 0.500
4 Ti 0.858 0.858 0.000
5 Bi 0.348 0.348 0.000
6 Bi 0.652 0.652 0.000
7 C 0.000 0.000 0.000

=====

# 16
Material: Ti6Bi3C
Method: DFT, GGA-PBE
State: relaxed

density of states at the Fermi level: 8.7 states/eV/f.u.
total DFT energy (no corrections): -139.3 eV per cell
formation energy from the elements: -1.42 eV per formula unit

a = 9.456 Å, b = 9.456 Å, c = 4.207 Å
α = 90.00°, β = 90.00°, γ = 98.76°
Fractional coordinates of all 20 atoms:
1 Ti 0.076 0.924 0.750
2 Ti 0.084 0.585 0.750
3 Ti 0.247 0.420 0.250
4 Ti 0.256 0.744 0.250
5 Ti 0.415 0.916 0.750
6 Ti 0.420 0.247 0.750
7 Ti 0.580 0.753 0.250
8 Ti 0.585 0.084 0.250
9 Ti 0.744 0.256 0.750
10 Ti 0.753 0.580 0.750
11 Ti 0.916 0.415 0.250
12 Ti 0.924 0.076 0.250
13 Bi 0.072 0.269 0.750
14 Bi 0.269 0.072 0.250
15 Bi 0.408 0.592 0.750
16 Bi 0.592 0.408 0.250
17 Bi 0.731 0.928 0.750
18 Bi 0.928 0.731 0.250
19 C 0.221 0.779 0.750
20 C 0.779 0.221 0.250

=====

# 17
Material: TiBiC3
Method: DFT, GGA-PBE
State: relaxed

density of states at the Fermi level: 3.1 states/eV/f.u.
E above lowest polymorph: 0 meV/atom
total DFT energy (no corrections): -30.9 eV per cell
formation energy from the elements: 8.51 eV per formula unit

a = 4.134 Å, b = 4.134 Å, c = 4.134 Å
α = 90.00°, β = 90.00°, γ = 90.00°
Fractional coordinates of all 5 atoms:
1 Ti 0.000 0.000 0.000
2 Bi 0.500 0.500 0.500
3 C 0.000 0.000 0.500
4 C 0.000 0.500 0.000
5 C 0.500 0.000 0.000

=====

# 18
Material: Ti6Bi2C
Method: DFT, GGA-PBE
State: relaxed

density of states at the Fermi level: 8.9 states/eV/f.u.
total DFT energy (no corrections): -66.7 eV per cell
formation energy from the elements: -2.38 eV per formula unit

a = 6.033 Å, b = 6.033 Å, c = 6.033 Å
α = 120.77°, β = 120.77°, γ = 88.67°
Fractional coordinates of all 9 atoms:
1 Ti 0.244 0.244 0.489
2 Ti 0.244 0.756 0.000
3 Ti 0.248 0.248 0.000
4 Ti 0.752 0.752 0.000
5 Ti 0.756 0.244 0.000
6 Ti 0.756 0.756 0.511
7 Bi 0.250 0.750 0.500
8 Bi 0.750 0.250 0.500
9 C 0.500 0.500 0.000

=====

# 19
Material: Ti6BiC2
Method: DFT, GGA-PBE
State: relaxed

density of states at the Fermi level: 8.8 states/eV/f.u.
total DFT energy (no corrections): -143.9 eV per cell
formation energy from the elements: -2.26 eV per formula unit

a = 7.687 Å, b = 7.687 Å, c = 5.484 Å
α = 98.00°, β = 98.00°, γ = 64.59°
Fractional coordinates of all 18 atoms:
1 Ti 0.024 0.223 0.334
2 Ti 0.027 0.418 0.771
3 Ti 0.223 0.024 0.834
4 Ti 0.328 0.394 0.474
5 Ti 0.394 0.328 0.974
6 Ti 0.418 0.027 0.271
7 Ti 0.582 0.973 0.729
8 Ti 0.606 0.672 0.026
9 Ti 0.672 0.606 0.526
10 Ti 0.777 0.976 0.166
11 Ti 0.973 0.582 0.229
12 Ti 0.976 0.777 0.666
13 Bi 0.229 0.771 0.250
14 Bi 0.771 0.229 0.750
15 C 0.184 0.288 0.120
16 C 0.288 0.184 0.620
17 C 0.712 0.816 0.380
18 C 0.816 0.712 0.880

=====

# 20
Material: TiBi3C
Method: DFT, GGA-PBE
State: relaxed

density of states at the Fermi level: 5.2 states/eV/f.u.
E above lowest polymorph: 397 meV/atom
total DFT energy (no corrections): -21.4 eV per cell
formation energy from the elements: 7.38 eV per formula unit

a = 5.352 Å, b = 5.352 Å, c = 5.352 Å
α = 90.00°, β = 90.00°, γ = 90.00°
Fractional coordinates of all 5 atoms:
1 Ti 0.000 0.000 0.000
2 Bi 0.000 0.000 0.500
3 Bi 0.000 0.500 0.000
4 Bi 0.500 0.000 0.000
5 C 0.500 0.500 0.500